The following is a PBE+U calculation of a relaxed CaMg6VO8 crystal, from Alexandria. Values from VASP.

The structure in Quantum ESPRESSO input format:
```
&SYSTEM
  ibrav = 0, nat = 16, ntyp = 4
/
ATOMIC_SPECIES
Ca 40.08 Ca.upf
Mg 24.30 Mg.upf
V 50.94 V.upf
O 16.00 O.upf
ATOMIC_POSITIONS crystal
Ca 0.000 0.000 0.000
Mg 0.000 0.000 0.500
Mg 0.000 0.500 0.258
Mg 0.000 0.500 0.742
Mg 0.500 0.000 0.258
Mg 0.500 0.000 0.742
Mg 0.500 0.500 0.500
V 0.500 0.500 0.000
O 0.000 0.000 0.265
O 0.000 0.000 0.735
O 0.000 0.500 0.000
O 0.000 0.500 0.500
O 0.500 0.000 0.000
O 0.500 0.000 0.500
O 0.500 0.500 0.256
O 0.500 0.500 0.744
CELL_PARAMETERS angstrom
4.387 0.000 0.000
0.000 4.387 0.000
0.000 0.000 8.684
```

Properties
Uncorrected energy in eV per atom: -6.21
Theoretical density in Mg/m³: 3.62
Energy above the most stable polymorph in this dataset in eV per formula unit: 0.00
Volume in Å³/atom: 10.4
Total moment in μB per cell: 3.000